No. 1
{"formula": "BaLiPuTe3", "functional": "GGA-PBE", "state": "relaxed", "mass_density_g_cm3": 6.1, "spacegroup": "P2_1/m", "e_form_raw_kj_per_mol_fu": -735, "lattice_angstrom": [[-1.411, 4.370, -0.050], [-1.679, -0.436, 9.276], [9.498, 3.059, -0.723]], "species": ["Ba", "Ba", "Li", "Li", "Pu", "Pu", "Te", "Te", "Te", "Te", "Te", "Te"], "fractional_positions": [[0.750, 0.807, 0.756], [0.250, 0.193, 0.244], [0.250, 0.087, 0.590], [0.750, 0.913, 0.410], [0.250, 0.672, 0.156], [0.750, 0.328, 0.844], [0.250, 0.781, 0.479], [0.750, 0.891, 0.129], [0.750, 0.449, 0.167], [0.750, 0.219, 0.521], [0.250, 0.551, 0.833], [0.250, 0.109, 0.871]]}

---

No. 2
{"formula": "Rb2BaSn2", "functional": "GGA-PBE", "state": "relaxed", "mass_density_g_cm3": 4.0, "spacegroup": "I4/mmm", "formation_enthalpy_0k_ev_per_atom": -0.23, "polymorph_energy_mev_per_atom": 0, "lattice_angstrom": [[5.253, 0.000, 0.000], [0.000, 5.253, 0.000], [2.626, 2.626, 8.199]], "species": ["Ba", "Rb", "Rb", "Sn", "Sn"], "fractional_positions": [[0.000, 0.000, 0.000], [0.750, 0.250, 0.500], [0.250, 0.750, 0.500], [0.416, 0.416, 0.169], [0.584, 0.584, 0.831]]}

---

No. 3
{"formula": "CdInSb", "functional": "GGA-PBE", "state": "relaxed", "mass_density_g_cm3": 7.1, "spacegroup": "Pm", "e_form_raw_kj_per_mol_fu": 11, "lattice_angstrom": [[4.380, 0.000, 0.041], [0.000, 5.432, 0.000], [-1.766, 0.000, 6.802]], "species": ["Sb", "Sb", "Cd", "Cd", "In", "In"], "fractional_positions": [[0.774, 0.500, 0.235], [0.452, 0.000, 0.070], [0.115, 0.000, 0.398], [0.428, 0.500, 0.555], [0.099, 0.500, 0.896], [0.754, 0.000, 0.725]]}

---

No. 4
{"formula": "Cu3Pt7Au", "functional": "GGA-PBE", "state": "relaxed", "mass_density_g_cm3": 16.7, "spacegroup": "P3m1", "formation_enthalpy_0k_ev_per_atom": 0.03, "lattice_angstrom": [[6.662, 0.000, 0.000], [0.000, 5.501, 0.000], [0.000, -2.751, 4.764]], "species": ["Cu", "Cu", "Cu", "Pt", "Pt", "Pt", "Pt", "Pt", "Pt", "Pt", "Au"], "fractional_positions": [[0.785, 0.504, 0.496], [0.785, 0.504, 0.009], [0.785, 0.991, 0.496], [0.096, 0.165, 0.835], [0.096, 0.165, 0.331], [0.105, 0.667, 0.333], [0.465, 0.834, 0.166], [0.465, 0.331, 0.166], [0.465, 0.834, 0.669], [0.096, 0.669, 0.835], [0.472, 0.333, 0.667]]}

---

No. 5
{"formula": "Rb2NaAgF", "functional": "GGA-PBE", "state": "relaxed", "mass_density_g_cm3": 3.3, "spacegroup": "P4/mmm", "e_form_raw_kj_per_mol_fu": -463, "lattice_angstrom": [[5.812, 0.000, 0.000], [0.000, 5.812, 0.000], [0.000, 0.000, 4.829]], "species": ["Na", "Rb", "Rb", "Ag", "F"], "fractional_positions": [[0.000, 0.000, 0.500], [0.000, 0.500, 0.000], [0.500, 0.000, 0.000], [0.500, 0.500, 0.500], [0.000, 0.000, 0.000]]}

---

No. 6
{"formula": "ReHg", "functional": "GGA-PBE", "state": "relaxed", "mass_density_g_cm3": 16.9, "spacegroup": "P6_3/mmc", "formation_enthalpy_0k_ev_per_atom": 1.33, "polymorph_energy_mev_per_atom": 934, "lattice_angstrom": [[2.345, -4.061, 0.000], [2.345, 4.061, 0.000], [0.000, 0.000, 7.968]], "species": ["Re", "Re", "Re", "Re", "Hg", "Hg", "Hg", "Hg"], "fractional_positions": [[0.333, 0.667, 0.912], [0.667, 0.333, 0.412], [0.667, 0.333, 0.088], [0.333, 0.667, 0.588], [0.000, 0.000, 0.750], [0.000, 0.000, 0.250], [0.333, 0.667, 0.250], [0.667, 0.333, 0.750]]}

---

No. 7
{"formula": "MgCd3Mo", "functional": "GGA-PBE", "state": "relaxed", "mass_density_g_cm3": 5.5, "spacegroup": "Pm-3m", "formation_enthalpy_0k_ev_per_atom": 1.19, "polymorph_energy_mev_per_atom": 224, "lattice_angstrom": [[-0.707, 0.946, -5.035], [-5.050, 0.729, 0.846], [0.864, 5.032, 0.824]], "species": ["Mo", "Mg", "Cd", "Cd", "Cd"], "fractional_positions": [[0.500, 0.500, 0.500], [0.000, 0.000, 0.000], [0.000, 0.500, 0.000], [0.000, 0.000, 0.500], [0.500, 0.000, 0.000]]}

---

No. 8
{"formula": "PmY2ThP4", "functional": "GGA-PBE", "state": "relaxed", "mass_density_g_cm3": 5.9, "spacegroup": "P2/m", "formation_enthalpy_0k_ev_per_atom": -1.61, "lattice_angstrom": [[-2.952, 2.120, -1.862], [-4.663, -2.335, 4.733], [-0.244, 4.465, 5.469]], "species": ["Pm", "Y", "Y", "Th", "P", "P", "P", "P"], "fractional_positions": [[0.500, 0.500, 0.000], [0.000, 0.000, 0.000], [0.500, 0.000, 0.500], [0.000, 0.500, 0.500], [0.000, 0.756, 0.747], [0.000, 0.244, 0.253], [0.500, 0.756, 0.249], [0.500, 0.244, 0.751]]}

---

No. 9
{"formula": "V2Zn2Sb", "functional": "GGA-PBE", "state": "relaxed", "mass_density_g_cm3": 6.9, "spacegroup": "P4/mbm", "e_form_raw_kj_per_mol_fu": 91, "lattice_angstrom": [[-6.486, 0.291, 1.363], [-0.615, -6.421, -1.552], [0.728, -0.956, 3.667]], "species": ["Sb", "Sb", "Zn", "Zn", "Zn", "Zn", "V", "V", "V", "V"], "fractional_positions": [[0.000, 0.000, 0.000], [0.500, 0.500, 0.000], [0.160, 0.660, 0.500], [0.660, 0.840, 0.500], [0.840, 0.340, 0.500], [0.340, 0.160, 0.500], [0.373, 0.873, 0.000], [0.873, 0.627, 0.000], [0.627, 0.127, 0.000], [0.127, 0.373, 0.000]]}

---

No. 10
{"formula": "KBaAgH2", "functional": "GGA-PBE", "state": "relaxed", "mass_density_g_cm3": 3.1, "spacegroup": "P4/mmm", "lattice_angstrom": [[4.815, 0.000, 0.000], [0.000, 6.698, 0.000], [0.000, 0.000, 4.815]], "species": ["H", "H", "K", "Ba", "Ag"], "fractional_positions": [[0.000, 0.000, 0.500], [0.500, 0.000, 0.000], [0.000, 0.000, 0.000], [0.000, 0.500, 0.000], [0.500, 0.500, 0.500]]}

---

No. 11
{"formula": "K5La4Si4O16F", "functional": "GGA-PBE", "state": "relaxed", "mass_density_g_cm3": 4.2, "spacegroup": "I-4", "e_form_raw_kj_per_mol_fu": -8493, "lattice_angstrom": [[9.346, 0.013, 0.000], [-7.674, 5.334, 0.000], [-0.836, -2.674, 8.916]], "species": ["K", "K", "K", "K", "K", "La", "La", "La", "La", "Si", "Si", "Si", "Si", "O", "O", "O", "O", "O", "O", "O", "O", "O", "O", "O", "O", "O", "O", "O", "O", "F"], "fractional_positions": [[0.603, 0.094, 0.697], [0.397, 0.906, 0.303], [0.906, 0.603, 0.510], [0.094, 0.397, 0.490], [0.500, 0.500, 0.000], [0.101, 0.798, 0.932], [0.866, 0.169, 0.068], [0.202, 0.134, 0.302], [0.831, 0.899, 0.698], [0.757, 0.406, 0.141], [0.265, 0.615, 0.859], [0.594, 0.735, 0.350], [0.385, 0.243, 0.650], [0.953, 0.711, 0.171], [0.540, 0.782, 0.829], [0.289, 0.460, 0.242], [0.218, 0.047, 0.758], [0.762, 0.335, 0.976], [0.359, 0.786, 0.024], [0.665, 0.641, 0.427], [0.214, 0.238, 0.573], [0.119, 0.611, 0.739], [0.872, 0.380, 0.261], [0.389, 0.128, 0.508], [0.620, 0.881, 0.492], [0.066, 0.316, 0.855], [0.460, 0.210, 0.145], [0.684, 0.540, 0.750], [0.790, 0.934, 0.250], [0.000, 0.000, 0.000]]}

---

No. 12
{"formula": "LiCrFe2Mo", "functional": "GGA-PBE", "state": "relaxed", "mass_density_g_cm3": 5.3, "spacegroup": "P4/mmm", "formation_enthalpy_0k_ev_per_atom": 1.09, "lattice_angstrom": [[4.354, 0.000, 0.000], [0.000, 4.429, 0.000], [0.000, 0.000, 4.354]], "species": ["Cr", "Mo", "Fe", "Fe", "Li"], "fractional_positions": [[0.000, 0.000, 0.000], [0.000, 0.500, 0.000], [0.000, 0.000, 0.500], [0.500, 0.000, 0.000], [0.500, 0.500, 0.500]]}

---

| no. | V (Å³ per cell) | E (eV/f.u.) |
| --- | --- | --- |
| 1 | 419.3 | -35.2 |
| 2 | 226.2 | -13.0 |
| 3 | 162.2 | -7.7 |
| 4 | 174.6 | -57.5 |
| 5 | 163.1 | -12.8 |
| 6 | 151.8 | -10.1 |
| 7 | 138.3 | -9.2 |
| 8 | 191.5 | -59.6 |
| 9 | 169.8 | -24.0 |
| 10 | 155.3 | -10.1 |
| 11 | 445.3 | -216.1 |
| 12 | 84.0 | -33.8 |